Here is MgBi2O after structural relaxation from Alexandria via LeMat-Bulk. Energies are from PBEsol.

Structure (POSCAR):
```
MgBi2O
1.0
0.000 3.458 3.458
3.458 0.000 3.458
3.458 3.458 0.000
Mg Bi O
1 2 1
Direct
0.000 0.000 0.000 Mg
0.250 0.250 0.250 Bi
0.750 0.750 0.750 Bi
0.500 0.500 0.500 O
```

Calculated values
N(E_F), states/eV/f.u.: 3.1

Here is MgBi2O6 after structural relaxation from Alexandria via LeMat-Bulk. Energies are from PBEsol.

Structure (POSCAR):
```
MgBi2O6
1.0
4.869 0.000 0.000
0.000 4.869 0.000
0.000 0.000 9.849
Mg Bi O
2 4 12
Direct
0.000 0.000 0.000 Mg
0.500 0.500 0.500 Mg
0.000 0.000 0.333 Bi
0.000 0.000 0.667 Bi
0.500 0.500 0.167 Bi
0.500 0.500 0.833 Bi
0.191 0.191 0.164 O
0.191 0.191 0.836 O
0.198 0.198 0.500 O
0.302 0.698 0.000 O
0.309 0.691 0.336 O
0.309 0.691 0.664 O
0.691 0.309 0.336 O
0.691 0.309 0.664 O
0.698 0.302 0.000 O
0.802 0.802 0.500 O
0.809 0.809 0.164 O
0.809 0.809 0.836 O
```

Calculated values
N(E_F), states/eV/f.u.: 0.6

Here is MgBi4O9 after structural relaxation from Alexandria via LeMat-Bulk. Energies are from PBEsol.

Structure (POSCAR):
```
MgBi4O9
1.0
8.101 0.000 0.000
0.000 5.652 0.000
-7.074 0.000 8.743
Mg Bi O
2 8 18
Direct
0.000 0.226 0.250 Mg
0.000 0.774 0.750 Mg
0.203 0.194 0.060 Bi
0.203 0.806 0.560 Bi
0.391 0.265 0.860 Bi
0.391 0.735 0.360 Bi
0.609 0.265 0.640 Bi
0.609 0.735 0.140 Bi
0.797 0.194 0.440 Bi
0.797 0.806 0.940 Bi
0.120 0.125 0.625 O
0.120 0.875 0.125 O
0.175 0.391 0.202 O
0.175 0.609 0.702 O
0.260 0.019 0.427 O
0.260 0.981 0.927 O
0.298 0.461 0.985 O
0.298 0.539 0.485 O
0.500 0.048 0.250 O
0.500 0.952 0.750 O
0.702 0.461 0.515 O
0.702 0.539 0.015 O
0.740 0.019 0.073 O
0.740 0.981 0.573 O
0.825 0.391 0.298 O
0.825 0.609 0.798 O
0.880 0.125 0.875 O
0.880 0.875 0.375 O
```

VASP energy (computed, eV/atom): -3.81, -5.91, -5.95
Formation energy (no corrections) (computed, eV/atom): 0.074, -1.266, -1.224